Record 1
Below is crystalline MnCr2Si at its relaxed geometry, with properties calculated at the PBE level.

a b c (Å): 2.5798 3.7626 4.7472
angles (deg): 90.00 90.00 90.00
Last column: nearest neighbours and their distance in Å.
Space group Pmmm (No. 47)
Unique sites:
Mn 0.0000 0.0000 0.0000 [1 per cell]  2 Si 2.37, 2 Mn 2.58, 8 Cr 2.58
Cr 0.5000 0.5000 0.2557 [2 per cell]  4 Cr 2.32-2.58, 4 Si 2.56, 4 Mn 2.58
Si 0.0000 0.0000 0.5000 [1 per cell]  2 Mn 2.37, 8 Cr 2.56, 2 Si 2.58

Values from the calculation:
The formation energy (no corrections) comes out at -0.110 eV/atom. The final energy comes out at -8.570 eV per atom.


Record 2
Below is crystalline MnCr2Si at its relaxed geometry, with properties calculated at the PBE level.

a b c (Å): 3.0695 4.0443 7.5365
angles (deg): 90.00 90.00 90.00
Last column: nearest neighbours and their distance in Å.
Space group Cmm2 (No. 35)
Unique sites:
Mn 0.0000 0.0000 0.0000 [2 per cell]  2 Si 2.37, 2 Cr 2.45, 4 Mn 2.54
Cr 0.0000 0.0000 0.4889 [2 per cell]  2 Si 2.43, 6 Cr 2.48-2.54
Cr 0.0000 0.5000 0.7474 [2 per cell]  2 Mn 2.45, 6 Cr 2.48-2.54
Si 0.0000 0.5000 0.2391 [2 per cell]  2 Mn 2.37, 2 Cr 2.43, 4 Si 2.54

Values from the calculation:
The formation energy (no corrections) comes out at -0.023 eV/atom. The final energy comes out at -8.483 eV per atom.


Record 3
Below is crystalline Mn2CrSi2 at its relaxed geometry, with properties calculated at the PBE level.

a b c (Å): 6.6373 6.6373 2.7024
angles (deg): 90.00 90.00 90.00
Last column: nearest neighbours and their distance in Å.
Space group P4/mbm (No. 127)
Unique sites:
Mn 0.1531 0.3469 0.0000 [4 per cell]  6 Si 2.34-2.39
Cr 0.0000 0.0000 0.5000 [2 per cell]  4 Si 2.55, 2 Cr 2.70, 8 Mn 2.86
Si 0.1428 0.6428 0.5000 [4 per cell]  6 Mn 2.34-2.39, 2 Cr 2.55

Values from the calculation:
The formation energy (no corrections) comes out at -0.190 eV/atom. The final energy comes out at -7.952 eV per atom.


Record 4
Below is crystalline MnCrSi2 at its relaxed geometry, with properties calculated at the PBE level.

a b c (Å): 5.7381 5.7381 5.7381
angles (deg): 90.00 90.00 90.00
Last column: nearest neighbours and their distance in Å.
Space group F-43m (No. 216)
Unique sites:
Mn 0.0000 0.0000 0.0000 [4 per cell]  4 Si 2.48, 4 Cr 2.48
Cr 0.2500 0.2500 0.7500 [4 per cell]  4 Mn 2.48, 4 Si 2.48
Si 0.0000 0.0000 0.5000 [4 per cell]  4 Cr 2.48, 4 Si 2.48
Si 0.2500 0.2500 0.2500 [4 per cell]  4 Mn 2.48, 4 Si 2.48

Values from the calculation:
The formation energy (no corrections) comes out at 0.069 eV/atom. The final energy comes out at -7.340 eV per atom.


Record 5
Below is crystalline MnCrSi2 at its relaxed geometry, with properties calculated at the PBE level.

a b c (Å): 6.4658 6.4658 5.3307
angles (deg): 90.00 90.00 90.00
Last column: nearest neighbours and their distance in Å.
Space group I-42d (No. 122)
Unique sites:
Mn 0.0000 0.0000 0.0000 [4 per cell]  4 Si 2.36
Cr 0.0000 0.0000 0.5000 [4 per cell]  4 Si 2.40, 2 Mn 2.67
Si 0.2447 0.2500 0.1250 [8 per cell]  2 Mn 2.36, 2 Cr 2.40

Values from the calculation:
The formation energy (no corrections) comes out at 0.267 eV/atom. The final energy comes out at -7.142 eV per atom.


Record 6
Below is crystalline Mn2Cr2Si at its relaxed geometry, with properties calculated at the PBE level.

a b c (Å): 7.8819 4.0117 4.6778
angles (deg): 90.00 125.94 90.00
Last column: nearest neighbours and their distance in Å.
Space group C2/m (No. 12)
Unique sites:
Mn 0.0009 0.0000 0.2254 [4 per cell]  1 Mn 2.10, 2 Cr 2.29-2.30
Cr 0.2020 0.5000 0.2054 [4 per cell]  2 Mn 2.29-2.30
Si 0.0000 0.5000 0.5000 [2 per cell]  4 Mn 2.38, 2 Cr 2.65

Values from the calculation:
The formation energy (no corrections) comes out at 0.130 eV/atom. The final energy comes out at -8.472 eV per atom.


Record 7
Below is crystalline Mn4CrSi at its relaxed geometry, with properties calculated at the PBE level.

a b c (Å): 6.5064 6.5064 6.5064
angles (deg): 90.00 90.00 90.00
Last column: nearest neighbours and their distance in Å.
Space group F-43m (No. 216)
Unique sites:
Mn 0.1237 0.1237 0.3763 [16 per cell]  6 Mn 2.28-2.32
Cr 0.0000 0.0000 0.0000 [4 per cell]  12 Mn 2.70, 4 Si 2.82
Si 0.2500 0.2500 0.7500 [4 per cell]  12 Mn 2.69, 4 Cr 2.82

Values from the calculation:
The formation energy (no corrections) comes out at 0.096 eV/atom. The final energy comes out at -8.525 eV per atom.


Record 8
Below is crystalline MnCr2Si at its relaxed geometry, with properties calculated at the PBE level.

a b c (Å): 2.9111 3.8976 4.0210
angles (deg): 90.00 90.00 90.00
Last column: nearest neighbours and their distance in Å.
Space group Pmmm (No. 47)
Unique sites:
Mn 0.0000 0.0000 0.0000 [1 per cell]  4 Si 2.43, 4 Cr 2.48
Cr 0.0000 0.5000 0.5000 [1 per cell]  4 Cr 2.43, 4 Si 2.48
Cr 0.5000 0.0000 0.5000 [1 per cell]  4 Cr 2.43, 4 Mn 2.48
Si 0.5000 0.5000 0.0000 [1 per cell]  4 Mn 2.43, 4 Cr 2.48

Values from the calculation:
The formation energy (no corrections) comes out at -0.198 eV/atom. The final energy comes out at -8.658 eV per atom.


Record 9
Below is crystalline MnCrSi2 at its relaxed geometry, with properties calculated at the PBE level.

a b c (Å): 2.7227 2.7227 22.8284
angles (deg): 90.00 90.00 120.00
Last column: nearest neighbours and their distance in Å.
Space group R3m (No. 160, hexagonal axes)
Unique sites:
Mn 0.0000 0.0000 0.0000 [3 per cell]  3 Si 2.39, 3 Cr 2.43
Cr 0.0000 0.0000 0.2521 [3 per cell]  3 Mn 2.43, 3 Si 2.45
Si 0.0000 0.0000 0.5033 [3 per cell]  3 Cr 2.45, 9 Si 2.60-2.72
Si 0.0000 0.0000 0.7457 [3 per cell]  3 Mn 2.39, 3 Si 2.60

Values from the calculation:
The formation energy (no corrections) comes out at 0.016 eV/atom. The final energy comes out at -7.393 eV per atom.


Record 10
Below is crystalline MnCrSi2 at its relaxed geometry, with properties calculated at the PBE level.

a b c (Å): 8.4944 2.7491 4.1733
angles (deg): 90.00 106.96 90.00
Last column: nearest neighbours and their distance in Å.
Space group Cm (No. 8)
Unique sites:
Mn 0.0000 0.0000 0.0000 [2 per cell]  7 Si 2.41-2.52, 2 Cr 2.56
Cr 0.2531 0.0000 0.6586 [2 per cell]  7 Si 2.43-2.52, 2 Mn 2.56
Si 0.0051 0.5000 0.4965 [2 per cell]  3 Cr 2.43-2.44, 4 Mn 2.48-2.52, 2 Si 2.64
Si 0.2442 0.5000 0.1587 [2 per cell]  3 Mn 2.41-2.45, 4 Cr 2.48-2.52, 2 Si 2.64

Values from the calculation:
The formation energy (no corrections) comes out at -0.245 eV/atom. The final energy comes out at -7.654 eV per atom.


Record 11
Below is crystalline MnCrSi2 at its relaxed geometry, with properties calculated at the PBE level.

a b c (Å): 2.7090 3.2688 5.4240
angles (deg): 90.00 96.66 90.00
Last column: nearest neighbours and their distance in Å.
Space group P2/m (No. 10)
Unique sites:
Mn 0.0000 0.0000 0.0000 [1 per cell]  8 Si 2.42-2.61, 2 Mn 2.71
Cr 0.0000 0.0000 0.5000 [1 per cell]  8 Si 2.45-2.60, 2 Cr 2.71, 2 Mn 2.71
Si 0.4930 0.5000 0.2484 [2 per cell]  4 Mn 2.42-2.61, 4 Cr 2.45-2.60, 3 Si 2.70-2.71

Values from the calculation:
The formation energy (no corrections) comes out at -0.160 eV/atom. The final energy comes out at -7.570 eV per atom.


Record 12
Below is crystalline MnCr2Si at its relaxed geometry, with properties calculated at the PBE level.

a b c (Å): 2.5893 2.5893 24.0288
angles (deg): 90.00 90.00 120.00
Last column: nearest neighbours and their distance in Å.
Space group R3m (No. 160, hexagonal axes)
Unique sites:
Mn 0.0000 0.0000 0.0000 [3 per cell]  3 Cr 2.43, 3 Si 2.45, 6 Mn 2.59
Cr 0.0000 0.0000 0.5010 [3 per cell]  3 Si 2.53, 9 Cr 2.59
Cr 0.0000 0.0000 0.7465 [3 per cell]  3 Mn 2.43, 9 Cr 2.59
Si 0.0000 0.0000 0.2524 [3 per cell]  3 Mn 2.45, 3 Cr 2.53, 6 Si 2.59

Values from the calculation:
The formation energy (no corrections) comes out at 0.083 eV/atom. The final energy comes out at -8.377 eV per atom.


Record 13
Below is crystalline MnCr2Si at its relaxed geometry, with properties calculated at the PBE level.

a b c (Å): 2.5332 3.9284 4.7009
angles (deg): 90.00 102.62 90.00
Last column: nearest neighbours and their distance in Å.
Space group Pm (No. 6)
Unique sites:
Mn 0.0000 0.0000 0.0000 [1 per cell]  4 Cr 2.31-2.53, 2 Si 2.42, 2 Mn 2.53
Cr 0.2417 0.5000 0.7442 [1 per cell]  4 Cr 2.41-2.53, 2 Si 2.41-2.42, 2 Mn 2.45
Cr 0.4296 0.0000 0.4862 [1 per cell]  2 Mn 2.31-2.53, 4 Cr 2.41-2.53, 2 Si 2.50
Si 0.7520 0.5000 0.2421 [1 per cell]  6 Cr 2.41-2.69, 2 Mn 2.42, 2 Si 2.53

Values from the calculation:
The formation energy (no corrections) comes out at -0.133 eV/atom. The final energy comes out at -8.593 eV per atom.


Record 14
Below is crystalline MnCr2Si at its relaxed geometry, with properties calculated at the PBE level.

a b c (Å): 2.9127 3.9413 7.8645
angles (deg): 90.00 90.00 90.00
Last column: nearest neighbours and their distance in Å.
Space group Imm2 (No. 44)
Unique sites:
Mn 0.0000 0.0000 0.0000 [2 per cell]  6 Cr 2.43-2.45, 2 Si 2.47
Cr 0.0000 0.0000 0.5120 [2 per cell]  2 Cr 2.38, 4 Mn 2.45, 2 Si 2.50
Cr 0.0000 0.5000 0.2521 [2 per cell]  2 Cr 2.38, 2 Mn 2.43, 4 Si 2.45
Si 0.0000 0.5000 0.7530 [2 per cell]  8 Cr 2.45-2.73, 2 Mn 2.47

Values from the calculation:
The formation energy (no corrections) comes out at -0.219 eV/atom. The final energy comes out at -8.679 eV per atom.


Number 1: calculated volume 46.1 Å³/cell. Number 2: calculated volume 93.6 Å³/cell. Number 3: calculated volume 119.1 Å³/cell. Number 4: calculated volume 188.9 Å³/cell. Number 5: calculated volume 222.9 Å³/cell. Number 6: calculated volume 119.8 Å³/cell. Number 7: calculated volume 275.4 Å³/cell. Number 8: calculated volume 45.6 Å³/cell. Number 9: calculated volume 146.6 Å³/cell. Number 10: calculated volume 93.2 Å³/cell. Number 11: calculated volume 47.7 Å³/cell. Number 12: calculated volume 139.5 Å³/cell. Number 13: calculated volume 45.7 Å³/cell. Number 14: calculated volume 90.3 Å³/cell.